(1)
DFT (PBE-GGA) results for an optimized crystal structure of Rb2Cd12Ag5.

Cell and atoms, written as CIF:
```
data_Rb2Cd12Ag5
_chemical_formula_sum 'Rb6 Cd36 Ag15'
_cell_length_a 10.4918
_cell_length_b 10.4918
_cell_length_c 14.5683
_cell_angle_alpha 90.00
_cell_angle_beta 90.00
_cell_angle_gamma 120.00
_symmetry_space_group_name_H-M 'R -3 m'
_symmetry_Int_Tables_number 166
_symmetry_space_group_name_Hall '-R 3 2"'
loop_
_atom_site_label
_atom_site_type_symbol
_atom_site_fract_x
_atom_site_fract_y
_atom_site_fract_z
_atom_site_occupancy
Rb1 Rb 0.0000 0.0000 0.1401 1
Cd1 Cd 0.0000 0.2872 0.5000 1
Cd2 Cd 0.0316 0.5158 0.3559 1
Ag1 Ag 0.0000 0.0000 0.3984 1
Ag2 Ag 0.0000 0.5000 0.0000 1
```

Values from the calculation:
ΔH_f (0 K) in eV/atom: -0.04
Total DFT energy (no corrections) in eV per formula unit: -27.849

(2)
DFT (PBE-GGA) results for an optimized crystal structure of AgIN2Cl.

Cell and atoms, written as CIF:
```
data_AgIN2Cl
_chemical_formula_sum 'Ag1 I1 N2 Cl1'
_cell_length_a 4.196
_cell_length_b 4.196
_cell_length_c 8.486
_cell_angle_alpha 90.00
_cell_angle_beta 90.00
_cell_angle_gamma 90.00
_symmetry_space_group_name_H-M 'P 4/m m m'
_symmetry_Int_Tables_number 123
_symmetry_space_group_name_Hall '-P 4 2'
loop_
_atom_site_label
_atom_site_type_symbol
_atom_site_fract_x
_atom_site_fract_y
_atom_site_fract_z
_atom_site_occupancy
Ag1 Ag 0.000 0.000 0.000 1
I1 I 0.500 0.500 0.000 1
N1 N 0.000 0.500 0.500 1
Cl1 Cl 0.500 0.500 0.500 1
```

Values from the calculation:
Formation energy (no corrections) in eV per atom: 1.92
Total DFT energy (no corrections) in eV per formula unit: -13.320
Relative energy among the computed polymorphs in eV/atom: 0.210

Q: Which total magnetic moment values were calculated for the entries above? A: 0.0, 4.0, in μB per formula unit.